A relaxed structure of Li2PuInS4, computed with GGA-PBE.

Properties
The uncorrected formation energy is -1.168 eV/atom. The value obtained for the density of states at the Fermi level is 10.1 states/eV/f.u. The symmetry is P2/m.

abc: 6.580 3.881 6.712
angles: 90.00 110.17 90.00
Fractional positions:
Li1 0.000 0.000 0.000
Li2 0.000 0.500 0.500
Pu1 0.500 0.000 0.500
In1 0.500 0.500 0.000
S1 0.246 0.500 0.247
S2 0.252 0.000 0.762
S3 0.748 0.000 0.238
S4 0.754 0.500 0.753